# 1
A geometry-optimized Zr2RhBr structure, computed with PBE-GGA.

Unit cell a=10.421 b=3.192 c=4.705 alpha=90.00 beta=92.34 gamma=90.00
Space group Cm (No. 8)
One atom of each set of equivalent atoms:
Zr 0.000 0.000 0.000 x2
Zr 0.248 0.500 0.453 x2
Rh 0.267 0.000 0.954 x2
Br 0.488 0.000 0.497 x2

Results
Formation energy without anion corrections, eV/atom: -0.3546
Energy above the lowest structure with this stoichiometry, eV per formula unit: 0.98

# 2
A geometry-optimized NpSi3Ir3 structure, computed with PBE-GGA.

Unit cell a=6.552 b=6.552 c=6.552 alpha=90.00 beta=90.00 gamma=90.00
Space group Pm-3n (No. 223)
One atom of each set of equivalent atoms:
Np 0.000 0.000 0.000 x2
Si 0.000 0.250 0.500 x6
Ir 0.000 0.500 0.250 x6

Results
Formation energy without anion corrections, eV/atom: -0.1731

# 3
A geometry-optimized Rb6Au4Cl structure, computed with PBE-GGA.

Unit cell a=9.119 b=9.119 c=10.741 alpha=90.00 beta=90.00 gamma=90.00
Space group P4/mnc (No. 128)
One atom of each set of equivalent atoms:
Rb 0.000 0.000 0.216 x4
Rb 0.142 0.322 0.500 x8
Au 0.115 0.615 0.250 x8
Cl 0.000 0.000 0.500 x2

Results
Formation energy without anion corrections, eV/atom: -0.5363

# 4
A geometry-optimized Hf4SiO structure, computed with PBE-GGA.

Unit cell a=7.974 b=7.974 c=7.170 alpha=90.00 beta=90.00 gamma=90.00
Space group I4_1md (No. 109)
One atom of each set of equivalent atoms:
Hf 0.000 0.290 0.000 x8
Hf 0.000 0.309 0.443 x8
Si 0.000 0.000 0.484 x4
O 0.000 0.000 0.954 x4

Results
Formation energy without anion corrections, eV/atom: -0.8242

Calculated E, -6.88, -8.14, -2.42, -9.19 eV/atom (same order as the records).